! VGaF3, optimized geometry, DFT PBE+U; values from VASP
&SYSTEM
  ibrav = 0, nat = 5, ntyp = 3
/
ATOMIC_SPECIES
V 50.94 V.upf
Ga 69.72 Ga.upf
F 19.00 F.upf
CELL_PARAMETERS angstrom
-3.4457 -0.6437 -2.3623
2.4386 -1.2670 -3.2118
-0.2190 -3.9810 1.4042
ATOMIC_POSITIONS angstrom
V -0.6131 -2.9458 -2.0850
Ga 0.0000 0.0000 0.0000
F 1.2193 -0.6335 -1.6059
F -0.1095 -1.9905 0.7021
F -1.7229 -0.3218 -1.1811
! DFT total energy   -22.4 eV per cell